A relaxed structure of TlCuF3. Source: Alexandria, functional PBE.

Calculated values
Calculated density ... 6.56 g cm⁻³
Formation energy (no corrections) ... -7.98 eV per formula unit
Space group ... No. 11
VASP energy ... -4.0117 eV per atom
Crystal system ... monoclinic
Total magnetization ... 0.2000 μB/atom

Unit cell a=4.009 b=6.331 c=6.745 alpha=90.00 beta=106.14 gamma=90.00
Fractional positions:
Tl 0.182 0.250 0.385
Tl 0.818 0.750 0.615
Cu 0.484 0.250 0.966
Cu 0.516 0.750 0.034
F 0.012 0.750 0.025
F 0.403 0.518 0.792
F 0.403 0.982 0.792
F 0.597 0.018 0.208
F 0.597 0.482 0.208
F 0.988 0.250 0.975